Density functional theory data (PBE) for a relaxed PmNd2PaP4 crystal.

Results
Raw total energy: -7.174 eV per atom

CIF file:
```
data_PmNd2PaP4
_space_group_name_H-M_alt 'I -4 m 2'
_space_group_IT_number 119
_space_group_name_Hall 'I -4 -2'
_cell_length_a 5.790
_cell_length_b 5.790
_cell_length_c 11.601
_cell_angle_alpha 90.00
_cell_angle_beta 90.00
_cell_angle_gamma 90.00
loop_
_atom_site_label
_atom_site_fract_x
_atom_site_fract_y
_atom_site_fract_z
Pm1 0.000 0.000 0.000
Nd1 0.000 0.000 0.500
Nd2 0.000 0.500 0.250
Pa1 0.000 0.500 0.750
P1 0.000 0.000 0.249
P2 0.000 0.500 0.512
```

***

Density functional theory data (PBE) for a relaxed GaNiIrC crystal.

Results
Raw total energy: -6.473 eV per atom
Energy above the lowest structure with this stoichiometry: 0.1268 eV/atom

CIF file:
```
data_GaNiIrC
_space_group_name_H-M_alt 'I m m 2'
_space_group_IT_number 44
_space_group_name_Hall 'I 2 -2'
_cell_length_a 3.040
_cell_length_b 3.950
_cell_length_c 8.446
_cell_angle_alpha 90.00
_cell_angle_beta 90.00
_cell_angle_gamma 90.00
loop_
_atom_site_label
_atom_site_fract_x
_atom_site_fract_y
_atom_site_fract_z
Ga1 0.000 0.000 0.000
Ni1 0.000 0.000 0.535
Ir1 0.000 0.500 0.759
C1 0.000 0.000 0.749
```

***

Density functional theory data (PBE) for a relaxed Ca2Ru2F crystal.

Results
Uncorrected formation energy: -0.35 eV/atom
Raw total energy: -5.232 eV per atom
Energy above the lowest structure with this stoichiometry: 0.2970 eV/atom

CIF file:
```
data_Ca2Ru2F
_space_group_name_H-M_alt 'P 4/m b m'
_space_group_IT_number 127
_space_group_name_Hall '-P 4 2ab'
_cell_length_a 6.274
_cell_length_b 6.274
_cell_length_c 4.970
_cell_angle_alpha 90.00
_cell_angle_beta 90.00
_cell_angle_gamma 90.00
loop_
_atom_site_label
_atom_site_fract_x
_atom_site_fract_y
_atom_site_fract_z
Ca1 0.182 0.318 0.000
Ru1 0.132 0.632 0.500
F1 0.000 0.000 0.000
```

***

Density functional theory data (PBE) for a relaxed PmEuI crystal.

Results
Uncorrected formation energy: -0.62 eV/atom
Raw total energy: -6.142 eV per atom

CIF file:
```
data_PmEuI
_space_group_name_H-M_alt 'P 3 m 1'
_space_group_IT_number 156
_space_group_name_Hall 'P 3 -2"'
_cell_length_a 3.9980
_cell_length_b 3.9980
_cell_length_c 7.8700
_cell_angle_alpha 90.00
_cell_angle_beta 90.00
_cell_angle_gamma 120.00
loop_
_atom_site_label
_atom_site_fract_x
_atom_site_fract_y
_atom_site_fract_z
Pm1 0.0000 0.0000 0.0000
Eu1 0.3333 0.6667 0.6305
I1 0.6667 0.3333 0.3011
```

***

Density functional theory data (PBE) for a relaxed InSnPb2 crystal.

Results
Raw total energy: -3.481 eV per atom
Energy above the lowest structure with this stoichiometry: 0.0444 eV/atom

CIF file:
```
data_InSnPb2
_space_group_name_H-M_alt 'F m -3 m'
_space_group_IT_number 225
_space_group_name_Hall '-F 4 2 3'
_cell_length_a 7.799
_cell_length_b 7.799
_cell_length_c 7.799
_cell_angle_alpha 90.00
_cell_angle_beta 90.00
_cell_angle_gamma 90.00
loop_
_atom_site_label
_atom_site_fract_x
_atom_site_fract_y
_atom_site_fract_z
In1 0.000 0.000 0.000
Sn1 0.000 0.000 0.500
Pb1 0.250 0.250 0.250
```

***

Density functional theory data (PBE) for a relaxed MnAlTc2 crystal.

Results
Raw total energy: -8.436 eV per atom

CIF file:
```
data_MnAlTc2
_space_group_name_H-M_alt 'C m m m'
_space_group_IT_number 65
_space_group_name_Hall '-C 2 2'
_cell_length_a 3.127
_cell_length_b 4.338
_cell_length_c 8.270
_cell_angle_alpha 90.00
_cell_angle_beta 90.00
_cell_angle_gamma 90.00
loop_
_atom_site_label
_atom_site_fract_x
_atom_site_fract_y
_atom_site_fract_z
Mn1 0.000 0.000 0.000
Al1 0.000 0.000 0.500
Tc1 0.000 0.500 0.244
```

***

Density functional theory data (PBE) for a relaxed Na3TaMn2S6 crystal.

Results
Uncorrected formation energy: -0.92 eV/atom
Raw total energy: -5.833 eV per atom

CIF file:
```
data_Na3TaMn2S6
_space_group_name_H-M_alt 'C 1 2/m 1'
_space_group_IT_number 12
_space_group_name_Hall '-C 2y'
_cell_length_a 6.429
_cell_length_b 11.139
_cell_length_c 6.904
_cell_angle_alpha 90.00
_cell_angle_beta 108.14
_cell_angle_gamma 90.00
loop_
_atom_site_label
_atom_site_fract_x
_atom_site_fract_y
_atom_site_fract_z
Na1 0.000 0.000 0.000
Na2 0.000 0.331 0.000
Ta1 0.000 0.500 0.500
Mn1 0.000 0.166 0.500
S1 0.231 0.339 0.711
S2 0.249 0.000 0.710
```

***

Density functional theory data (PBE) for a relaxed ZrMnPS2 crystal.

Results
Uncorrected formation energy: 0.01 eV/atom
Raw total energy: -6.266 eV per atom
Energy above the lowest structure with this stoichiometry: 0.1496 eV/atom

CIF file:
```
data_ZrMnPS2
_space_group_name_H-M_alt 'P 4/m m m'
_space_group_IT_number 123
_space_group_name_Hall '-P 4 2'
_cell_length_a 4.929
_cell_length_b 4.929
_cell_length_c 5.090
_cell_angle_alpha 90.00
_cell_angle_beta 90.00
_cell_angle_gamma 90.00
loop_
_atom_site_label
_atom_site_fract_x
_atom_site_fract_y
_atom_site_fract_z
Zr1 0.000 0.000 0.000
Mn1 0.500 0.500 0.500
P1 0.000 0.000 0.500
S1 0.000 0.500 0.000
```

***

Density functional theory data (PBE) for a relaxed BaGaGe2Ru crystal.

Results
Raw total energy: -3.652 eV per atom

CIF file:
```
data_BaGaGe2Ru
_space_group_name_H-M_alt 'P 4/m m m'
_space_group_IT_number 123
_space_group_name_Hall '-P 4 2'
_cell_length_a 4.768
_cell_length_b 4.768
_cell_length_c 5.579
_cell_angle_alpha 90.00
_cell_angle_beta 90.00
_cell_angle_gamma 90.00
loop_
_atom_site_label
_atom_site_fract_x
_atom_site_fract_y
_atom_site_fract_z
Ba1 0.000 0.000 0.000
Ga1 0.000 0.000 0.500
Ge1 0.000 0.500 0.500
Ru1 0.500 0.500 0.000
```

***

Density functional theory data (PBE) for a relaxed HgIr2Au crystal.

Results
Raw total energy: -4.834 eV per atom

CIF file:
```
data_HgIr2Au
_space_group_name_H-M_alt 'P m m m'
_space_group_IT_number 47
_space_group_name_Hall '-P 2 2'
_cell_length_a 2.831
_cell_length_b 4.883
_cell_length_c 4.903
_cell_angle_alpha 90.00
_cell_angle_beta 90.00
_cell_angle_gamma 90.00
loop_
_atom_site_label
_atom_site_fract_x
_atom_site_fract_y
_atom_site_fract_z
Hg1 0.000 0.000 0.000
Ir1 0.000 0.500 0.500
Ir2 0.500 0.500 0.000
Au1 0.500 0.000 0.500
```

***

Density functional theory data (PBE) for a relaxed TbTlPb3 crystal.

Results
Raw total energy: -3.724 eV per atom
Energy above the lowest structure with this stoichiometry: 0.0454 eV/atom

CIF file:
```
data_TbTlPb3
_space_group_name_H-M_alt 'P m m n'
_space_group_IT_number 59
_cell_length_a 4.953
_cell_length_b 6.594
_cell_length_c 10.106
_cell_angle_alpha 90.00
_cell_angle_beta 90.00
_cell_angle_gamma 90.00
loop_
_space_group_symop_operation_xyz
'x,y,z'
'-x,-y,-z'
'-x+1/2,-y+1/2,z'
'x+1/2,y+1/2,-z'
'x+1/2,-y,-z'
'-x+1/2,y,z'
'-x,y+1/2,-z'
'x,-y+1/2,z'
loop_
_atom_site_label
_atom_site_fract_x
_atom_site_fract_y
_atom_site_fract_z
Tb1 0.250 0.250 0.088
Tl1 0.250 0.750 0.447
Pb1 0.250 0.504 0.746
Pb2 0.250 0.750 0.105
```

***

Density functional theory data (PBE) for a relaxed CrTeP2 crystal.

Results
Uncorrected formation energy: 0.04 eV/atom
Raw total energy: -5.851 eV per atom

CIF file:
```
data_CrTeP2
_space_group_name_H-M_alt 'C 1 2/m 1'
_space_group_IT_number 12
_space_group_name_Hall '-C 2y'
_cell_length_a 6.752
_cell_length_b 3.030
_cell_length_c 8.154
_cell_angle_alpha 90.00
_cell_angle_beta 106.16
_cell_angle_gamma 90.00
loop_
_atom_site_label
_atom_site_fract_x
_atom_site_fract_y
_atom_site_fract_z
Cr1 0.000 0.000 0.000
Te1 0.000 0.500 0.500
P1 0.142 0.500 0.845
```